[1]
VASP calculation (meta-GGA SCAN) on FeBi2As2 at its PBEsol-relaxed geometry.

The electronic total energy comes out at -430.082 eV per cell. The value obtained for the theoretical density is 9.11 Mg/m³.

It has space group P4/mbm (No. 127), with a = 6.1942 Å, b = 6.1942 Å, c = 5.9281 Å, α = 90.00°, β = 90.00° and γ = 90.00°. Symmetry generates all atoms from Fe at (0.0000, 0.0000, 0.0000), Bi at (0.1969, 0.3031, 0.5000) and As at (0.1462, 0.3538, 0.0000).

=====

[2]
VASP calculation (meta-GGA SCAN) on Fe3BiAs at its PBEsol-relaxed geometry.

The electronic total energy comes out at -150.252 eV per cell. The value obtained for the theoretical density is 8.85 Mg/m³.

It has space group Pm-3m (No. 221), with a = 4.3918 Å, b = 4.3918 Å, c = 4.3918 Å, α = 90.00°, β = 90.00° and γ = 90.00°. Symmetry generates all atoms from Fe at (0.0000, 0.0000, 0.5000), Bi at (0.5000, 0.5000, 0.5000) and As at (0.0000, 0.0000, 0.0000).

=====

[3]
VASP calculation (meta-GGA SCAN) on Hf2BiAs at its PBEsol-relaxed geometry.

The electronic total energy comes out at -900.534 eV per cell. The value obtained for the theoretical density is 12.97 Mg/m³.

It has space group Fm-3m (No. 225), with a = 6.8976 Å, b = 6.8976 Å, c = 6.8976 Å, α = 90.00°, β = 90.00° and γ = 90.00°. Symmetry generates all atoms from Hf at (0.2500, 0.2500, 0.2500), Bi at (0.0000, 0.0000, 0.0000) and As at (0.0000, 0.0000, 0.5000).

=====

[4]
VASP calculation (meta-GGA SCAN) on NaHfBi2As at its PBEsol-relaxed geometry.

The electronic total energy comes out at -237.946 eV per cell. The value obtained for the theoretical density is 8.22 Mg/m³.

It has space group P4/mmm (No. 123), with a = 5.1400 Å, b = 5.1400 Å, c = 5.3091 Å, α = 90.00°, β = 90.00° and γ = 90.00°. Symmetry generates all atoms from Na at (0.0000, 0.0000, 0.0000), Hf at (0.0000, 0.0000, 0.5000), Bi at (0.0000, 0.5000, 0.0000) and As at (0.5000, 0.5000, 0.5000).